# 1
Here is a relaxed CaPaCuO6 crystal from Alexandria via LeMat-Bulk. Energies are from PBE-GGA.

Values from the calculation:
The formation energy (no corrections) is -1.93 eV per atom. The calculation puts the total moment at 0.00 μB per formula unit. Its total DFT energy (no corrections) is -6.97 eV per atom. The calculation puts the density at 6.12 g cm⁻³. The value obtained for the density of states at the Fermi level is 0.6278 states/eV/atom.

Lattice parameters (Å, degrees): 5.3253 5.3253 4.7599 90.00 90.00 120.00
Last column: nearest neighbours and their distance in Å.
Fractional coordinates of all 9 atoms:
Ca (0.0000, 0.0000, 0.0000)  6 O 2.30
Pa (0.6667, 0.3333, 0.5000)  6 O 2.15
Cu (0.3333, 0.6667, 0.0000)  6 O 1.96
O (0.0174, 0.3832, 0.2385)  1 Cu 1.96, 1 Pa 2.15
O (0.0174, 0.6341, 0.7615)  1 Cu 1.96, 1 Pa 2.15
O (0.3659, 0.3832, 0.7615)  1 Cu 1.96, 1 Pa 2.15
O (0.3659, 0.9826, 0.2385)  1 Cu 1.96, 1 Pa 2.15
O (0.6168, 0.6341, 0.2385)  1 Cu 1.96, 1 Pa 2.15
O (0.6168, 0.9826, 0.7615)  1 Cu 1.96, 1 Pa 2.15


# 2
Here is a relaxed Sr4CaYCu6Pb4O16 crystal from Alexandria via LeMat-Bulk. Energies are from PBE-GGA.

Values from the calculation:
The formation energy (no corrections) is -1.64 eV per atom. The calculation puts the total moment at 0.00 μB per formula unit. Its total DFT energy (no corrections) is -5.83 eV per atom. The energy above the most stable polymorph in this dataset comes out at 0.000 eV per atom. The calculation puts the density at 6.86 g cm⁻³. The value obtained for the density of states at the Fermi level is 0.2502 states/eV/atom.

Lattice parameters (Å, degrees): 5.4295 5.4295 15.9727 90.00 90.00 89.39
Last column: nearest neighbours and their distance in Å.
Fractional coordinates of all 32 atoms:
Sr (0.0003, 0.0003, 0.2180)  9 O 2.69-2.81
Sr (0.9997, 0.9997, 0.7820)  9 O 2.69-2.81
Sr (0.4986, 0.4986, 0.7801)  9 O 2.66-2.79
Sr (0.5014, 0.5014, 0.2199)  9 O 2.66-2.79
Ca (0.0000, 0.0000, 0.0000)  8 O 2.46-2.49
Y (0.5000, 0.5000, 0.0000)  8 O 2.40-2.42
Cu (0.0000, 0.0000, 0.5000)  2 O 1.87
Cu (0.9996, 0.4990, 0.8938)  4 O 1.92-1.94
Cu (0.0004, 0.5010, 0.1062)  4 O 1.92-1.94
Cu (0.4990, 0.9996, 0.8938)  4 O 1.92-1.94
Cu (0.5000, 0.5000, 0.5000)  2 O 1.86
Cu (0.5010, 0.0004, 0.1062)  4 O 1.92-1.94
Pb (0.0097, 0.4912, 0.3876)  3 O 2.19-2.43
Pb (0.4912, 0.0097, 0.3876)  3 O 2.19-2.43
Pb (0.5088, 0.9903, 0.6124)  3 O 2.19-2.43
Pb (0.9903, 0.5088, 0.6124)  3 O 2.19-2.43
O (0.0046, 0.4932, 0.7491)  1 Pb 2.19, 1 Cu 2.31
O (0.0442, 0.0442, 0.3850)  1 Cu 1.87
O (0.2543, 0.2543, 0.9074)  2 Cu 1.92
O (0.2535, 0.7451, 0.9049)  2 Cu 1.94
O (0.2549, 0.7465, 0.0951)  2 Cu 1.94
O (0.2557, 0.2557, 0.0951)  2 Cu 1.92
O (0.4568, 0.4568, 0.3851)  1 Cu 1.86
O (0.4932, 0.0046, 0.7491)  1 Pb 2.19, 1 Cu 2.31
O (0.5068, 0.9954, 0.2509)  1 Pb 2.19, 1 Cu 2.31
O (0.5432, 0.5432, 0.6149)  1 Cu 1.86
O (0.7443, 0.7443, 0.9049)  2 Cu 1.92
O (0.7451, 0.2535, 0.9049)  2 Cu 1.94
O (0.7465, 0.2549, 0.0951)  2 Cu 1.94
O (0.7457, 0.7457, 0.0926)  2 Cu 1.92
O (0.9558, 0.9558, 0.6150)  1 Cu 1.87
O (0.9954, 0.5068, 0.2509)  1 Pb 2.19, 1 Cu 2.31


# 3
Here is a relaxed Sr4CaYCu6Pb4O16 crystal from Alexandria via LeMat-Bulk. Energies are from PBE-GGA.

Values from the calculation:
The formation energy (no corrections) is -1.64 eV per atom. The calculation puts the total moment at 0.00 μB per formula unit. Its total DFT energy (no corrections) is -5.83 eV per atom. The energy above the most stable polymorph in this dataset comes out at 0.005 eV per atom. The calculation puts the density at 6.90 g cm⁻³. The value obtained for the density of states at the Fermi level is 0.2359 states/eV/atom.

Lattice parameters (Å, degrees): 16.4760 16.4760 16.4760 161.12 161.12 26.83
Last column: nearest neighbours and their distance in Å.
Fractional coordinates of all 32 atoms:
Sr (0.1092, 0.1092, 0.0000)  9 O 2.65-2.78
Sr (0.3899, 0.3899, 0.0000)  9 O 2.63-2.76
Sr (0.6101, 0.6101, 0.0000)  9 O 2.63-2.76
Sr (0.8908, 0.8908, 0.0000)  9 O 2.65-2.78
Ca (0.0000, 0.0000, 0.0000)  8 O 2.46
Y (0.5000, 0.5000, 0.0000)  8 O 2.41
Cu (0.0530, 0.5530, 0.5000)  4 O 1.92
Cu (0.2498, 0.2498, 0.0000)  2 O 1.86
Cu (0.4470, 0.9470, 0.5000)  4 O 1.92
Cu (0.5530, 0.0530, 0.5000)  4 O 1.92
Cu (0.7502, 0.7502, 0.0000)  2 O 1.86
Cu (0.9470, 0.4470, 0.5000)  4 O 1.92
Pb (0.1936, 0.6936, 0.5000)  1 O 2.18
Pb (0.3064, 0.8064, 0.5000)  1 O 2.18
Pb (0.6936, 0.1936, 0.5000)  1 O 2.18
Pb (0.8064, 0.3064, 0.5000)  1 O 2.18
O (0.1255, 0.6255, 0.5000)  1 Pb 2.18, 1 Cu 2.33
O (0.1918, 0.1918, 0.0000)  1 Cu 1.86
O (0.2074, 0.2074, 0.5090)  2 Cu 1.92
O (0.2074, 0.6984, 0.0000)  2 Cu 1.92
O (0.3016, 0.3016, 0.5090)  2 Cu 1.92
O (0.3016, 0.7926, 0.0000)  2 Cu 1.92
O (0.3078, 0.3078, 0.0000)  1 Cu 1.86
O (0.3745, 0.8745, 0.5000)  1 Pb 2.18, 1 Cu 2.33
O (0.6255, 0.1255, 0.5000)  1 Pb 2.18, 1 Cu 2.33
O (0.6922, 0.6922, 0.0000)  1 Cu 1.86
O (0.6984, 0.2074, 0.0000)  2 Cu 1.92
O (0.6984, 0.6984, 0.4910)  2 Cu 1.92
O (0.7926, 0.3016, 0.0000)  2 Cu 1.92
O (0.7926, 0.7926, 0.4910)  2 Cu 1.92
O (0.8082, 0.8082, 0.0000)  1 Cu 1.86
O (0.8745, 0.3745, 0.5000)  1 Pb 2.18, 1 Cu 2.33


# 4
Here is a relaxed CaCu2PdO4 crystal from Alexandria via LeMat-Bulk. Energies are from PBE-GGA.

Values from the calculation:
The formation energy (no corrections) is -0.96 eV per atom. The calculation puts the total moment at 0.00 μB per formula unit. Its total DFT energy (no corrections) is -5.36 eV per atom. The calculation puts the density at 6.05 g cm⁻³. The value obtained for the density of states at the Fermi level is 0.5777 states/eV/atom.

Lattice parameters (Å, degrees): 5.4544 5.4544 6.2319 90.00 90.00 90.00
Last column: nearest neighbours and their distance in Å.
Fractional coordinates of all 16 atoms:
Ca (0.0000, 0.0000, 0.0000)  8 O 2.45-2.52
Ca (0.5000, 0.5000, 0.5000)  8 O 2.45-2.52
Cu (0.0000, 0.5000, 0.2500)  4 O 1.94
Cu (0.0000, 0.5000, 0.7500)  4 O 1.94
Cu (0.5000, 0.0000, 0.2500)  4 O 1.94
Cu (0.5000, 0.0000, 0.7500)  4 O 1.94
Pd (0.0000, 0.0000, 0.5000)  4 O 2.30
Pd (0.5000, 0.5000, 0.0000)  4 O 2.30
O (0.2318, 0.2318, 0.2678)  2 Cu 1.94
O (0.2318, 0.7682, 0.7322)  2 Cu 1.94
O (0.2682, 0.2682, 0.7678)  2 Cu 1.94
O (0.2682, 0.7318, 0.2322)  2 Cu 1.94
O (0.7318, 0.2682, 0.2322)  2 Cu 1.94
O (0.7318, 0.7318, 0.7678)  2 Cu 1.94
O (0.7682, 0.2318, 0.7322)  2 Cu 1.94
O (0.7682, 0.7682, 0.2678)  2 Cu 1.94


# 5
Here is a relaxed CaCuPd2O4 crystal from Alexandria via LeMat-Bulk. Energies are from PBE-GGA.

Values from the calculation:
The formation energy (no corrections) is -0.97 eV per atom. The calculation puts the total moment at 1.02 μB per formula unit. Its total DFT energy (no corrections) is -5.51 eV per atom. The calculation puts the density at 6.27 g cm⁻³. The value obtained for the density of states at the Fermi level is 1.0003 states/eV/atom.

Lattice parameters (Å, degrees): 5.5980 5.5980 6.4338 90.00 90.00 90.00
Last column: nearest neighbours and their distance in Å.
Fractional coordinates of all 16 atoms:
Ca (0.0000, 0.0000, 0.0000)  4 O 2.36
Ca (0.5000, 0.5000, 0.5000)  4 O 2.36
Cu (0.0000, 0.0000, 0.5000)  4 O 2.00
Cu (0.5000, 0.5000, 0.0000)  4 O 2.00
Pd (0.0000, 0.5000, 0.2500)  4 O 2.06
Pd (0.0000, 0.5000, 0.7500)  4 O 2.06
Pd (0.5000, 0.0000, 0.2500)  4 O 2.06
Pd (0.5000, 0.0000, 0.7500)  4 O 2.06
O (0.1842, 0.1842, 0.7121)  1 Cu 2.00, 2 Pd 2.06
O (0.1842, 0.8158, 0.2879)  1 Cu 2.00, 2 Pd 2.06
O (0.3158, 0.3158, 0.2121)  1 Cu 2.00, 2 Pd 2.06
O (0.3158, 0.6842, 0.7879)  1 Cu 2.00, 2 Pd 2.06
O (0.6842, 0.3158, 0.7879)  1 Cu 2.00, 2 Pd 2.06
O (0.6842, 0.6842, 0.2121)  1 Cu 2.00, 2 Pd 2.06
O (0.8158, 0.1842, 0.2879)  1 Cu 2.00, 2 Pd 2.06
O (0.8158, 0.8158, 0.7121)  1 Cu 2.00, 2 Pd 2.06


# 6
Here is a relaxed CaCu3Pd4O12 crystal from Alexandria via LeMat-Bulk. Energies are from PBE-GGA.

Values from the calculation:
The formation energy (no corrections) is -0.68 eV per atom. The calculation puts the total moment at 0.00 μB per formula unit. Its total DFT energy (no corrections) is -5.41 eV per atom. The calculation puts the density at 6.46 g cm⁻³. The value obtained for the density of states at the Fermi level is 0.6878 states/eV/atom.

Lattice parameters (Å, degrees): 6.5666 6.5666 6.5666 109.47 109.47 109.47
Last column: nearest neighbours and their distance in Å.
Fractional coordinates of all 20 atoms:
Ca (0.0000, 0.0000, 0.0000)  12 O 2.66
Cu (0.0000, 0.5000, 0.5000)  4 O 1.90
Cu (0.5000, 0.0000, 0.5000)  4 O 1.90
Cu (0.5000, 0.5000, 0.0000)  4 O 1.90
Pd (0.0000, 0.0000, 0.5000)  6 O 2.06
Pd (0.0000, 0.5000, 0.0000)  6 O 2.06
Pd (0.5000, 0.0000, 0.0000)  6 O 2.06
Pd (0.5000, 0.5000, 0.5000)  6 O 2.06
O (0.1469, 0.8363, 0.3106)  1 Cu 1.90, 2 Pd 2.06
O (0.1637, 0.3106, 0.4742)  1 Cu 1.90, 2 Pd 2.06
O (0.1637, 0.6894, 0.8531)  1 Cu 1.90, 2 Pd 2.06
O (0.3106, 0.1469, 0.8363)  1 Cu 1.90, 2 Pd 2.06
O (0.3106, 0.4742, 0.1637)  1 Cu 1.90, 2 Pd 2.06
O (0.4742, 0.1637, 0.3106)  1 Cu 1.90, 2 Pd 2.06
O (0.5258, 0.8363, 0.6894)  1 Cu 1.90, 2 Pd 2.06
O (0.6894, 0.5258, 0.8363)  1 Cu 1.90, 2 Pd 2.06
O (0.6894, 0.8531, 0.1637)  1 Cu 1.90, 2 Pd 2.06
O (0.8363, 0.3106, 0.1469)  1 Cu 1.90, 2 Pd 2.06
O (0.8363, 0.6894, 0.5258)  1 Cu 1.90, 2 Pd 2.06
O (0.8531, 0.1637, 0.6894)  1 Cu 1.90, 2 Pd 2.06


# 7
Here is a relaxed Ca2Cu2PdO6 crystal from Alexandria via LeMat-Bulk. Energies are from PBE-GGA.

Values from the calculation:
The formation energy (no corrections) is -1.21 eV per atom. The calculation puts the total moment at 2.07 μB per formula unit. Its total DFT energy (no corrections) is -5.49 eV per atom. The calculation puts the density at 4.58 g cm⁻³. The value obtained for the density of states at the Fermi level is 0.5512 states/eV/atom.

Lattice parameters (Å, degrees): 6.1507 6.1507 6.1507 55.81 55.81 55.81
Last column: nearest neighbours and their distance in Å.
Fractional coordinates of all 11 atoms:
Ca (0.2036, 0.2036, 0.2036)  3 O 2.34
Ca (0.7964, 0.7964, 0.7964)  3 O 2.34
Cu (0.4106, 0.4106, 0.4106)  3 O 1.83
Cu (0.5894, 0.5894, 0.5894)  3 O 1.83
Pd (0.0000, 0.0000, 0.0000)  6 O 2.03
O (0.2130, 0.7613, 0.7613)  1 Cu 1.83, 1 Pd 2.03
O (0.2387, 0.2387, 0.7870)  1 Cu 1.83, 1 Pd 2.03
O (0.2387, 0.7870, 0.2387)  1 Cu 1.83, 1 Pd 2.03
O (0.7613, 0.2130, 0.7613)  1 Cu 1.83, 1 Pd 2.03
O (0.7613, 0.7613, 0.2130)  1 Cu 1.83, 1 Pd 2.03
O (0.7870, 0.2387, 0.2387)  1 Cu 1.83, 1 Pd 2.03


# 8
Here is a relaxed CaPm2CuO5 crystal from Alexandria via LeMat-Bulk. Energies are from PBE-GGA.

Values from the calculation:
The formation energy (no corrections) is -2.54 eV per atom. The calculation puts the total moment at 1.00 μB per formula unit. Its total DFT energy (no corrections) is -7.03 eV per atom. The calculation puts the density at 6.30 g cm⁻³.

Lattice parameters (Å, degrees): 6.5941 6.5941 5.7389 90.00 90.00 90.00
Last column: nearest neighbours and their distance in Å.
Fractional coordinates of all 18 atoms:
Ca (0.0000, 0.0000, 0.0000)  10 O 2.87
Ca (0.5000, 0.5000, 0.0000)  10 O 2.87
Pm (0.1716, 0.3284, 0.5000)  4 O 2.28-2.44
Pm (0.3284, 0.8284, 0.5000)  4 O 2.28-2.44
Pm (0.6716, 0.1716, 0.5000)  4 O 2.28-2.44
Pm (0.8284, 0.6716, 0.5000)  4 O 2.28-2.44
Cu (0.0000, 0.5000, 0.0000)  4 O 1.92
Cu (0.5000, 0.0000, 0.0000)  4 O 1.92
O (0.0000, 0.0000, 0.5000)  4 Pm 2.44
O (0.1449, 0.6449, 0.2374)  1 Cu 1.92
O (0.1449, 0.6449, 0.7626)  1 Cu 1.92
O (0.3551, 0.1449, 0.2374)  1 Cu 1.92
O (0.3551, 0.1449, 0.7626)  1 Cu 1.92
O (0.5000, 0.5000, 0.5000)  4 Pm 2.44
O (0.6449, 0.8551, 0.2374)  1 Cu 1.92
O (0.6449, 0.8551, 0.7626)  1 Cu 1.92
O (0.8551, 0.3551, 0.2374)  1 Cu 1.92
O (0.8551, 0.3551, 0.7626)  1 Cu 1.92


What is the formula in the fifth record? CaCuPd2O4


Which formula does entry 2 have? Sr4CaYCu6Pb4O16


Please write out number 1 again, unchanged.
Here is a relaxed CaPaCuO6 crystal from Alexandria via LeMat-Bulk. Energies are from PBE-GGA.

Values from the calculation:
The formation energy (no corrections) is -1.93 eV per atom. The calculation puts the total moment at 0.00 μB per formula unit. Its total DFT energy (no corrections) is -6.97 eV per atom. The calculation puts the density at 6.12 g cm⁻³. The value obtained for the density of states at the Fermi level is 0.6278 states/eV/atom.

Lattice parameters (Å, degrees): 5.3253 5.3253 4.7599 90.00 90.00 120.00
Last column: nearest neighbours and their distance in Å.
Fractional coordinates of all 9 atoms:
Ca (0.0000, 0.0000, 0.0000)  6 O 2.30
Pa (0.6667, 0.3333, 0.5000)  6 O 2.15
Cu (0.3333, 0.6667, 0.0000)  6 O 1.96
O (0.0174, 0.3832, 0.2385)  1 Cu 1.96, 1 Pa 2.15
O (0.0174, 0.6341, 0.7615)  1 Cu 1.96, 1 Pa 2.15
O (0.3659, 0.3832, 0.7615)  1 Cu 1.96, 1 Pa 2.15
O (0.3659, 0.9826, 0.2385)  1 Cu 1.96, 1 Pa 2.15
O (0.6168, 0.6341, 0.2385)  1 Cu 1.96, 1 Pa 2.15
O (0.6168, 0.9826, 0.7615)  1 Cu 1.96, 1 Pa 2.15